DFT (GGA-PBE) results for an optimized crystal structure of La5YTm3.

The structure belongs to space group C2/c (No. 15); the cell edges are 20.420, 6.395 and 11.734 Å and the angles 90.00°, 122.94° and 90.00°. The distinct sites, in fractional coordinates, are La at (0.000, 0.090, 0.250), La at (0.143, 0.183, 0.670), La at (0.181, 0.324, 0.333), Y at (0.000, 0.397, 0.750), Tm at (0.000, 0.500, 0.000) and Tm at (0.173, 0.266, 0.019).

The electronic total energy comes out at -168.6 eV per cell. Its formation energy is 0.26 eV/atom. As for the spin magnetization: 0.00 Bohr magnetons per cell.

DFT (GGA-PBE) results for an optimized crystal structure of La3Y3Tm.

The structure belongs to space group R-3 (No. 148, hexagonal axes); the cell edges are 8.9001, 8.9001 and 21.3521 Å and the angles 90.00°, 90.00° and 120.00°. The distinct sites, in fractional coordinates, are La at (0.0082, 0.2504, 0.0561), Y at (0.0532, 0.2687, 0.2151) and Tm at (0.0000, 0.0000, 0.3556).

The electronic total energy comes out at -221.1 eV per cell. Its formation energy is 0.26 eV/atom. As for the spin magnetization: 0.00 Bohr magnetons per cell.

DFT (GGA-PBE) results for an optimized crystal structure of La7Y3Tm.

The structure belongs to space group C2/m (No. 12); the cell edges are 12.959, 11.571 and 6.023 Å and the angles 90.00°, 117.68° and 90.00°. The distinct sites, in fractional coordinates, are La at (0.000, 0.000, 0.000), La at (0.193, 0.287, 0.693), La at (0.213, 0.500, 0.212), Y at (0.000, 0.296, 0.000), Y at (0.000, 0.500, 0.500) and Tm at (0.000, 0.000, 0.500).

The electronic total energy comes out at -111.9 eV per cell. Its formation energy is 0.22 eV/atom. As for the spin magnetization: 0.00 Bohr magnetons per cell. The calculation puts the polymorph energy (0 for the lowest one) at 1.03 eV/f.u.